Density functional theory data (GGA-PBE) for crystalline MoOs2 at its relaxed geometry.

The value obtained for the electronic total energy is -10.955 eV per atom.

It has space group P6/mmm (No. 191), with a = 4.3594 Å, b = 4.3594 Å, c = 2.7558 Å, α = 90.00°, β = 90.00° and γ = 120.00°. The distinct sites, in fractional coordinates, are Mo at (0.0000, 0.0000, 0.0000) and Os at (0.3333, 0.6667, 0.5000).



Density functional theory data (GGA-PBE) for crystalline Ga2FeSn4 at its relaxed geometry.

The value obtained for the electronic total energy is -4.128 eV per atom.

It has space group I4/mmm (No. 139), with a = 4.7272 Å, b = 4.7272 Å, c = 16.7357 Å, α = 90.00°, β = 90.00° and γ = 90.00°. The distinct sites, in fractional coordinates, are Ga at (0.0000, 0.0000, 0.1788), Fe at (0.0000, 0.0000, 0.5000), Sn at (0.0000, 0.0000, 0.3458) and Sn at (0.0000, 0.5000, 0.0000).



Density functional theory data (GGA-PBE) for crystalline RbSnB at its relaxed geometry.

The value obtained for the electronic total energy is -3.640 eV per atom.

It has space group Pmmm (No. 47), with a = 3.9273 Å, b = 5.9605 Å, c = 6.9888 Å, α = 90.00°, β = 90.00° and γ = 90.00°. The distinct sites, in fractional coordinates, are Rb at (0.0000, 0.0000, 0.0000), Rb at (0.5000, 0.0000, 0.5000), Sn at (0.0000, 0.5000, 0.2940) and B at (0.5000, 0.5000, 0.1175).



Question: Which value of electronic total energy does entry 2 give?
Answer: -4.128 eV per atom